A plane-wave DFT calculation with PBE was carried out for a geometry-optimized CsTe3Mo3 structure.

```
CsTe3Mo3
1.0
-4.324 0.609 -9.412
-1.860 -8.228 6.041
-3.663 2.167 1.823
Cs Te Mo
2 6 6
direct
0.333 0.667 0.250
0.667 0.333 0.750
0.953 0.289 0.250
0.336 0.047 0.250
0.711 0.664 0.250
0.047 0.711 0.750
0.664 0.953 0.750
0.289 0.336 0.750
0.136 0.158 0.250
0.022 0.864 0.250
0.842 0.978 0.250
0.864 0.842 0.750
0.978 0.136 0.750
0.158 0.022 0.750
```



A plane-wave DFT calculation with PBE was carried out for a geometry-optimized Cs2HgBiI6 structure.

```
Cs2HgBiI6
1.0
-1.782 -5.523 -6.664
5.623 -0.701 -6.780
4.777 -7.362 -1.035
Cs Hg Bi I
2 1 1 6
direct
0.750 0.750 0.750
0.250 0.250 0.250
0.500 0.500 0.500
0.000 0.000 0.000
0.752 0.248 0.248
0.248 0.248 0.752
0.248 0.752 0.752
0.248 0.752 0.248
0.752 0.248 0.752
0.752 0.752 0.248
```



Computed E_tot (eV/atom) in order:
-6.626; -2.354
Computed ΔE_f (raw) (meV per atom) in order:
-516; -835